(1)
Here is a relaxed LiSmZnTe3 crystal from OQMD via LeMat-Bulk. Energies are from PBE.

```
LiSmZnTe3
1.0
-1.929 9.254 4.611
-5.648 8.459 2.677
-1.898 -5.662 5.980
Sm Te Li Zn
2 6 2 2
Direct
0.829 0.829 0.420
0.171 0.171 0.580
0.327 0.327 0.682
0.672 0.672 0.849
0.673 0.673 0.318
0.000 0.000 0.500
0.328 0.328 0.151
0.500 0.500 0.000
0.105 0.105 0.083
0.895 0.895 0.917
0.544 0.544 0.727
0.456 0.456 0.273
```

(2)
Here is a relaxed LiSmZnTe3 crystal from OQMD via LeMat-Bulk. Energies are from PBE.

```
LiSmZnTe3
1.0
7.181 -2.129 0.000
7.181 2.129 0.000
0.000 0.000 11.633
Te Li Zn Sm
6 2 2 2
Direct
0.354 0.354 0.077
0.646 0.646 0.923
0.354 0.354 0.423
0.094 0.094 0.250
0.906 0.906 0.750
0.646 0.646 0.577
0.203 0.203 0.750
0.797 0.797 0.250
0.477 0.477 0.250
0.523 0.523 0.750
0.000 0.000 0.000
0.000 0.000 0.500
```

(3)
Here is a relaxed LiSmZnTe3 crystal from OQMD via LeMat-Bulk. Energies are from PBE.

```
LiSmZnTe3
1.0
8.528 0.000 0.000
0.000 4.320 0.000
-2.574 0.000 10.208
Te Zn Li Sm
6 2 2 2
Direct
0.238 0.750 0.035
0.947 0.750 0.653
0.580 0.250 0.341
0.053 0.250 0.347
0.762 0.250 0.965
0.420 0.750 0.659
0.083 0.250 0.098
0.917 0.750 0.902
0.812 0.750 0.367
0.188 0.250 0.633
0.679 0.250 0.651
0.321 0.750 0.349
```

(4)
Here is a relaxed LiSmTh crystal from OQMD via LeMat-Bulk. Energies are from PBE.

```
LiSmTh
1.0
-1.751 0.626 4.649
-3.783 3.170 0.844
-4.520 -1.768 1.232
Sm Li Th
1 1 1
Direct
0.250 0.250 0.250
0.000 0.000 0.000
0.750 0.750 0.750
```

(5)
Here is a relaxed LiSmU crystal from OQMD via LeMat-Bulk. Energies are from PBE.

```
LiSmU
1.0
2.614 -2.919 2.874
-1.599 -1.087 4.458
-1.581 -4.488 0.987
Li U Sm
1 1 1
Direct
0.000 0.000 0.000
0.750 0.750 0.750
0.250 0.250 0.250
```

(6)
Here is a relaxed LiSmY crystal from OQMD via LeMat-Bulk. Energies are from PBE.

```
LiSmY
1.0
-4.852 0.919 1.207
-2.234 4.299 -1.543
-3.587 -0.150 -3.599
Sm Y Li
1 1 1
Direct
0.250 0.250 0.250
0.750 0.750 0.750
0.000 0.000 0.000
```

(7)
Here is a relaxed LiSmZn crystal from OQMD via LeMat-Bulk. Energies are from PBE.

```
LiSmZn
1.0
0.000 3.348 3.348
3.348 0.000 3.348
3.348 3.348 0.000
Li Zn Sm
1 1 1
Direct
0.250 0.250 0.250
0.000 0.000 0.000
0.750 0.750 0.750
```

(8)
Here is a relaxed LiSmZn crystal from OQMD via LeMat-Bulk. Energies are from PBE.

```
LiSmZn
1.0
-1.086 2.471 3.961
-4.495 1.493 0.737
-2.665 -2.024 3.432
Li Sm Zn
1 1 1
Direct
0.250 0.250 0.250
0.000 0.000 0.000
0.750 0.750 0.750
```

Result set for energy above the most stable polymorph in this dataset: 0.109 0.018 0.000 0.000 0.000 0.000 0.000 0.338 eV per atom, one per record in the order listed.